Version P
CsHf3Sb: optimized geometry, PBE-GGA.

Geometry as CIF:
```
data_CsHf3Sb
_chemical_formula_sum 'Cs1 Hf3 Sb1'
_cell_length_a 5.2596
_cell_length_b 5.2596
_cell_length_c 5.2596
_cell_angle_alpha 90.00
_cell_angle_beta 90.00
_cell_angle_gamma 90.00
_symmetry_space_group_name_H-M 'P 1'
_symmetry_Int_Tables_number 1
loop_
_symmetry_equiv_pos_as_xyz
'x,y,z'
loop_
_atom_site_label
_atom_site_fract_x
_atom_site_fract_y
_atom_site_fract_z
_atom_site_occupancy
Cs1 0.0000 0.0000 0.0000 1
Hf1 0.0000 0.0000 0.5000 1
Hf2 0.0000 0.5000 0.0000 1
Hf3 0.5000 0.0000 0.0000 1
Sb1 0.5000 0.5000 0.5000 1
```

Computed properties:
Crystal system: cubic
DOS at the Fermi energy (states/eV per cell): 8.23



Version Q
CsHf3Sb: optimized geometry, PBE-GGA.

Geometry as CIF:
```
data_CsHf3Sb
_chemical_formula_sum 'Cs1 Hf3 Sb1'
_cell_length_a 5.4784
_cell_length_b 5.4784
_cell_length_c 5.4784
_cell_angle_alpha 90.00
_cell_angle_beta 90.00
_cell_angle_gamma 90.00
_symmetry_space_group_name_H-M 'P 1'
_symmetry_Int_Tables_number 1
loop_
_symmetry_equiv_pos_as_xyz
'x,y,z'
loop_
_atom_site_label
_atom_site_fract_x
_atom_site_fract_y
_atom_site_fract_z
_atom_site_occupancy
Cs1 0.0000 0.0000 0.0000 1
Hf1 0.0000 0.5000 0.5000 1
Hf2 0.5000 0.0000 0.5000 1
Hf3 0.5000 0.5000 0.0000 1
Sb1 0.5000 0.5000 0.5000 1
```

Computed properties:
Crystal system: cubic
DOS at the Fermi energy (states/eV per cell): 6.88



Which structure loses on stability? version P does.



Version P
CsHf2Sc: optimized geometry, PBE-GGA.

Geometry as CIF:
```
data_CsHf2Sc
_chemical_formula_sum 'Cs1 Hf2 Sc1'
_cell_length_a 5.3394
_cell_length_b 5.3394
_cell_length_c 5.3394
_cell_angle_alpha 60.00
_cell_angle_beta 60.00
_cell_angle_gamma 60.00
_symmetry_space_group_name_H-M 'P 1'
_symmetry_Int_Tables_number 1
loop_
_symmetry_equiv_pos_as_xyz
'x,y,z'
loop_
_atom_site_label
_atom_site_fract_x
_atom_site_fract_y
_atom_site_fract_z
_atom_site_occupancy
Cs1 0.0000 0.0000 0.0000 1
Hf1 0.2500 0.2500 0.2500 1
Hf2 0.7500 0.7500 0.7500 1
Sc1 0.5000 0.5000 0.5000 1
```

Computed properties:
Crystal system: cubic
DOS at the Fermi energy (states/eV per cell): 6.67



Version Q
CsHf2Sc: optimized geometry, PBE-GGA.

Geometry as CIF:
```
data_CsHf2Sc
_chemical_formula_sum 'Cs2 Hf4 Sc2'
_cell_length_a 11.6427
_cell_length_b 11.6427
_cell_length_c 11.6427
_cell_angle_alpha 158.14
_cell_angle_beta 158.14
_cell_angle_gamma 31.11
_symmetry_space_group_name_H-M 'P 1'
_symmetry_Int_Tables_number 1
loop_
_symmetry_equiv_pos_as_xyz
'x,y,z'
loop_
_atom_site_label
_atom_site_fract_x
_atom_site_fract_y
_atom_site_fract_z
_atom_site_occupancy
Cs1 0.0000 0.0000 0.0000 1
Cs2 0.7500 0.2500 0.5000 1
Hf1 0.1398 0.1250 0.5148 1
Hf2 0.3750 0.8602 0.9852 1
Hf3 0.6102 0.6250 0.4852 1
Hf4 0.8750 0.3898 0.0148 1
Sc1 0.2500 0.7500 0.5000 1
Sc2 0.5000 0.5000 0.0000 1
```

Computed properties:
Crystal system: tetragonal
DOS at the Fermi energy (states/eV per cell): 7.72



Which structure loses on stability? version P does.



Version P
CsHfSc: optimized geometry, PBE-GGA.

Geometry as CIF:
```
data_CsHfSc
_chemical_formula_sum 'Cs4 Hf4 Sc4'
_cell_length_a 5.9168
_cell_length_b 5.3360
_cell_length_c 14.8016
_cell_angle_alpha 90.00
_cell_angle_beta 90.00
_cell_angle_gamma 90.00
_symmetry_space_group_name_H-M 'P 1'
_symmetry_Int_Tables_number 1
loop_
_symmetry_equiv_pos_as_xyz
'x,y,z'
loop_
_atom_site_label
_atom_site_fract_x
_atom_site_fract_y
_atom_site_fract_z
_atom_site_occupancy
Cs1 0.2436 0.2500 0.0159 1
Cs2 0.2564 0.7500 0.5159 1
Cs3 0.7436 0.2500 0.4841 1
Cs4 0.7564 0.7500 0.9841 1
Hf1 0.1170 0.2500 0.7595 1
Hf2 0.3830 0.7500 0.2595 1
Hf3 0.6170 0.2500 0.7405 1
Hf4 0.8830 0.7500 0.2405 1
Sc1 0.1250 0.2500 0.2674 1
Sc2 0.3750 0.7500 0.7674 1
Sc3 0.6250 0.2500 0.2326 1
Sc4 0.8750 0.7500 0.7326 1
```

Computed properties:
Crystal system: orthorhombic
DOS at the Fermi energy (states/eV per cell): 17.87



Version Q
CsHfSc: optimized geometry, PBE-GGA.

Geometry as CIF:
```
data_CsHfSc
_chemical_formula_sum 'Cs4 Hf4 Sc4'
_cell_length_a 5.0004
_cell_length_b 7.0416
_cell_length_c 14.3945
_cell_angle_alpha 90.00
_cell_angle_beta 90.00
_cell_angle_gamma 90.00
_symmetry_space_group_name_H-M 'P 1'
_symmetry_Int_Tables_number 1
loop_
_symmetry_equiv_pos_as_xyz
'x,y,z'
loop_
_atom_site_label
_atom_site_fract_x
_atom_site_fract_y
_atom_site_fract_z
_atom_site_occupancy
Cs1 0.0058 0.2500 0.1389 1
Cs2 0.4942 0.7500 0.6389 1
Cs3 0.5058 0.2500 0.3611 1
Cs4 0.9942 0.7500 0.8611 1
Hf1 0.0147 0.2500 0.7886 1
Hf2 0.4853 0.7500 0.2886 1
Hf3 0.5147 0.2500 0.7114 1
Hf4 0.9853 0.7500 0.2114 1
Sc1 0.0138 0.2500 0.5897 1
Sc2 0.4862 0.7500 0.0897 1
Sc3 0.5138 0.2500 0.9103 1
Sc4 0.9862 0.7500 0.4103 1
```

Computed properties:
Crystal system: orthorhombic
DOS at the Fermi energy (states/eV per cell): 20.78



Which structure loses on stability? version Q does.



Version P
CsHf2Se4: optimized geometry, PBE-GGA.

Geometry as CIF:
```
data_CsHf2Se4
_chemical_formula_sum 'Cs1 Hf2 Se4'
_cell_length_a 9.6108
_cell_length_b 9.6108
_cell_length_c 6.4855
_cell_angle_alpha 108.48
_cell_angle_beta 108.48
_cell_angle_gamma 23.00
_symmetry_space_group_name_H-M 'P 1'
_symmetry_Int_Tables_number 1
loop_
_symmetry_equiv_pos_as_xyz
'x,y,z'
loop_
_atom_site_label
_atom_site_fract_x
_atom_site_fract_y
_atom_site_fract_z
_atom_site_occupancy
Cs1 0.0000 0.0000 0.0000 1
Hf1 0.2509 0.2509 0.2552 1
Hf2 0.7491 0.7491 0.7448 1
Se1 0.1596 0.1596 0.5014 1
Se2 0.3382 0.3382 0.9973 1
Se3 0.6619 0.6619 0.0027 1
Se4 0.8404 0.8404 0.4986 1
```

Computed properties:
Crystal system: monoclinic
DOS at the Fermi energy (states/eV per cell): 2.96



Version Q
CsHf2Se4: optimized geometry, PBE-GGA.

Geometry as CIF:
```
data_CsHf2Se4
_chemical_formula_sum 'Cs2 Hf4 Se8'
_cell_length_a 6.9833
_cell_length_b 6.9833
_cell_length_c 13.8412
_cell_angle_alpha 90.00
_cell_angle_beta 90.00
_cell_angle_gamma 146.38
_symmetry_space_group_name_H-M 'P 1'
_symmetry_Int_Tables_number 1
loop_
_symmetry_equiv_pos_as_xyz
'x,y,z'
loop_
_atom_site_label
_atom_site_fract_x
_atom_site_fract_y
_atom_site_fract_z
_atom_site_occupancy
Cs1 0.1091 0.8909 0.7500 1
Cs2 0.8909 0.1091 0.2500 1
Hf1 0.3716 0.6284 0.5631 1
Hf2 0.3716 0.6284 0.9369 1
Hf3 0.6284 0.3716 0.0631 1
Hf4 0.6284 0.3716 0.4369 1
Se1 0.0000 0.0000 0.0000 1
Se2 0.0000 0.0000 0.5000 1
Se3 0.2598 0.7402 0.1001 1
Se4 0.2598 0.7402 0.3999 1
Se5 0.4043 0.5957 0.7500 1
Se6 0.5957 0.4043 0.2500 1
Se7 0.7402 0.2598 0.6001 1
Se8 0.7402 0.2598 0.8999 1
```

Computed properties:
Crystal system: orthorhombic
DOS at the Fermi energy (states/eV per cell): 4.55



Which structure loses on stability? version Q does.



Version P
Cs3HfSe3: optimized geometry, PBE-GGA.

Geometry as CIF:
```
data_Cs3HfSe3
_chemical_formula_sum 'Cs12 Hf4 Se12'
_cell_length_a 8.7772
_cell_length_b 14.5694
_cell_length_c 11.4260
_cell_angle_alpha 90.00
_cell_angle_beta 126.48
_cell_angle_gamma 90.00
_symmetry_space_group_name_H-M 'P 1'
_symmetry_Int_Tables_number 1
loop_
_symmetry_equiv_pos_as_xyz
'x,y,z'
loop_
_atom_site_label
_atom_site_fract_x
_atom_site_fract_y
_atom_site_fract_z
_atom_site_occupancy
Cs1 0.1024 0.1398 0.4853 1
Cs2 0.1024 0.3602 0.9853 1
Cs3 0.1367 0.0701 0.8909 1
Cs4 0.1367 0.4299 0.3909 1
Cs5 0.3661 0.6891 0.5747 1
Cs6 0.3661 0.8109 0.0747 1
Cs7 0.6339 0.1891 0.9253 1
Cs8 0.6339 0.3109 0.4253 1
Cs9 0.8633 0.5701 0.6091 1
Cs10 0.8633 0.9299 0.1091 1
Cs11 0.8976 0.6398 0.0147 1
Cs12 0.8976 0.8602 0.5147 1
Hf1 0.4406 0.0536 0.3502 1
Hf2 0.4406 0.4464 0.8502 1
Hf3 0.5594 0.5536 0.1498 1
Hf4 0.5594 0.9464 0.6498 1
Se1 0.1522 0.1582 0.1975 1
Se2 0.1522 0.3418 0.6975 1
Se3 0.3531 0.6114 0.8815 1
Se4 0.3531 0.8886 0.3815 1
Se5 0.3750 0.5454 0.2562 1
Se6 0.3750 0.9546 0.7562 1
Se7 0.6250 0.0454 0.2438 1
Se8 0.6250 0.4546 0.7438 1
Se9 0.6469 0.1114 0.6185 1
Se10 0.6469 0.3886 0.1185 1
Se11 0.8478 0.6582 0.3025 1
Se12 0.8478 0.8418 0.8025 1
```

Computed properties:
Crystal system: monoclinic
DOS at the Fermi energy (states/eV per cell): 10.40



Version Q
Cs3HfSe3: optimized geometry, PBE-GGA.

Geometry as CIF:
```
data_Cs3HfSe3
_chemical_formula_sum 'Cs6 Hf2 Se6'
_cell_length_a 8.7840
_cell_length_b 8.7840
_cell_length_c 8.6242
_cell_angle_alpha 97.66
_cell_angle_beta 97.66
_cell_angle_gamma 112.44
_symmetry_space_group_name_H-M 'P 1'
_symmetry_Int_Tables_number 1
loop_
_symmetry_equiv_pos_as_xyz
'x,y,z'
loop_
_atom_site_label
_atom_site_fract_x
_atom_site_fract_y
_atom_site_fract_z
_atom_site_occupancy
Cs1 0.1721 0.8279 0.0000 1
Cs2 0.2649 0.7351 0.5000 1
Cs3 0.3869 0.3869 0.1563 1
Cs4 0.6131 0.6131 0.8437 1
Cs5 0.7351 0.2649 0.5000 1
Cs6 0.8279 0.1721 0.0000 1
Hf1 0.1615 0.1615 0.6409 1
Hf2 0.8385 0.8385 0.3591 1
Se1 0.0972 0.0972 0.3270 1
Se2 0.1475 0.4299 0.7732 1
Se3 0.4299 0.1475 0.7732 1
Se4 0.5701 0.8525 0.2268 1
Se5 0.8525 0.5701 0.2268 1
Se6 0.9028 0.9028 0.6730 1
```

Computed properties:
Crystal system: monoclinic
DOS at the Fermi energy (states/eV per cell): 1.50



Which structure loses on stability? version P does.



Version P
CsHf3Se: optimized geometry, PBE-GGA.

Geometry as CIF:
```
data_CsHf3Se
_chemical_formula_sum 'Cs1 Hf3 Se1'
_cell_length_a 5.2608
_cell_length_b 5.2608
_cell_length_c 5.2608
_cell_angle_alpha 90.00
_cell_angle_beta 90.00
_cell_angle_gamma 90.00
_symmetry_space_group_name_H-M 'P 1'
_symmetry_Int_Tables_number 1
loop_
_symmetry_equiv_pos_as_xyz
'x,y,z'
loop_
_atom_site_label
_atom_site_fract_x
_atom_site_fract_y
_atom_site_fract_z
_atom_site_occupancy
Cs1 0.0000 0.0000 0.0000 1
Hf1 0.0000 0.0000 0.5000 1
Hf2 0.0000 0.5000 0.0000 1
Hf3 0.5000 0.0000 0.0000 1
Se1 0.5000 0.5000 0.5000 1
```

Computed properties:
Crystal system: cubic
DOS at the Fermi energy (states/eV per cell): 7.29



Version Q
CsHf3Se: optimized geometry, PBE-GGA.

Geometry as CIF:
```
data_CsHf3Se
_chemical_formula_sum 'Cs1 Hf3 Se1'
_cell_length_a 5.1760
_cell_length_b 5.1760
_cell_length_c 5.1760
_cell_angle_alpha 90.00
_cell_angle_beta 90.00
_cell_angle_gamma 90.00
_symmetry_space_group_name_H-M 'P 1'
_symmetry_Int_Tables_number 1
loop_
_symmetry_equiv_pos_as_xyz
'x,y,z'
loop_
_atom_site_label
_atom_site_fract_x
_atom_site_fract_y
_atom_site_fract_z
_atom_site_occupancy
Cs1 0.0000 0.0000 0.0000 1
Hf1 0.0000 0.5000 0.5000 1
Hf2 0.5000 0.0000 0.5000 1
Hf3 0.5000 0.5000 0.0000 1
Se1 0.5000 0.5000 0.5000 1
```

Computed properties:
Crystal system: cubic
DOS at the Fermi energy (states/eV per cell): 4.36



Which structure loses on stability? version P does.